(1)
PrCu12Pt4: relaxed, PBE-GGA.

Cell: 7.2469 7.2469 7.2469 Å, 109.47 109.47 109.47°
With the nearest neighbours (Å) after each atom.
Element x y z (fractional)
Cu1 0.1457 0.6403 0.7860  2 Cu 2.35-2.44, 2 Pt 2.45
Pt1 0.5000 0.0000 0.0000  6 Cu 2.45
Pr1 0.0000 0.0000 0.0000  12 Cu 3.25, 8 Pt 3.62
Cu2 0.5054 0.1457 0.3597  2 Cu 2.35-2.44, 2 Pt 2.45
Cu3 0.7860 0.1457 0.6403  2 Cu 2.35-2.44, 2 Pt 2.45
Cu4 0.8543 0.6403 0.4946  2 Cu 2.35-2.44, 2 Pt 2.45
Pt2 0.0000 0.5000 0.0000  6 Cu 2.45
Pt3 0.5000 0.5000 0.5000  6 Cu 2.45
Cu5 0.4946 0.8543 0.6403  2 Cu 2.35-2.44, 2 Pt 2.45
Cu6 0.6403 0.7860 0.1457  2 Cu 2.35-2.44, 2 Pt 2.45
Cu7 0.3597 0.2140 0.8543  2 Cu 2.35-2.44, 2 Pt 2.45
Cu8 0.1457 0.3597 0.5054  2 Cu 2.35-2.44, 2 Pt 2.45
Cu9 0.3597 0.5054 0.1457  2 Cu 2.35-2.44, 2 Pt 2.45
Pt4 0.0000 0.0000 0.5000  6 Cu 2.45
Cu10 0.2140 0.8543 0.3597  2 Cu 2.35-2.44, 2 Pt 2.45
Cu11 0.8543 0.3597 0.2140  2 Cu 2.35-2.44, 2 Pt 2.45
Cu12 0.6403 0.4946 0.8543  2 Cu 2.35-2.44, 2 Pt 2.45

Calculated values
Spin magnetization, Bohr magnetons per cell: 0.00
Energy of formation, meV/atom: 326

(2)
Sm4Tm8Sc: relaxed, PBE-GGA.

Cell: 10.8268 10.8268 7.6626 Å, 90.00 134.95 120.00°
With the nearest neighbours (Å) after each atom.
Element x y z (fractional)
Tm1 0.4856 0.2428 0.7285  4 Sm 3.23-3.35, 1 Sc 3.42
Tm2 0.0010 0.2432 0.2442  4 Sm 3.22-3.35, 1 Sc 3.41
Tm3 0.5136 0.7568 0.7558  4 Sm 3.22-3.35, 1 Sc 3.41
Sm1 0.5000 0.0000 0.0000  8 Tm 3.35
Tm4 0.5144 0.7572 0.2715  4 Sm 3.23-3.35, 1 Sc 3.42
Sm2 0.0000 0.5000 0.0000  8 Tm 3.35
Sm3 0.5000 0.5000 0.0000  8 Tm 3.35
Sc1 0.0000 0.5000 0.5000  8 Tm 3.41-3.42
Tm5 0.9990 0.2422 0.7558  4 Sm 3.22-3.35, 1 Sc 3.41
Tm6 0.9990 0.7568 0.7558  4 Sm 3.22-3.35, 1 Sc 3.41
Sm4 0.0000 0.0000 0.0000  8 Tm 3.22-3.23
Tm7 0.0010 0.7578 0.2442  4 Sm 3.22-3.35, 1 Sc 3.41
Tm8 0.4864 0.2432 0.2442  4 Sm 3.22-3.35, 1 Sc 3.41

Calculated values
Spin magnetization, Bohr magnetons per cell: 0.03
Energy of formation, meV/atom: 532

(3)
LaRh: relaxed, PBE-GGA.

Cell: 4.0342 4.0342 3.6483 Å, 90.00 90.00 120.00°
With the nearest neighbours (Å) after each atom.
Element x y z (fractional)
La1 0.0000 0.0000 0.0000  6 Rh 2.96
Rh1 0.3333 0.6667 0.5000  6 La 2.96

Calculated values
Spin magnetization, Bohr magnetons per cell: 0.00
Energy of formation, meV/atom: -498

(4)
ZnOsRh: relaxed, PBE-GGA.

Cell: 4.6564 4.6564 4.6564 Å, 145.93 131.06 60.98°
With the nearest neighbours (Å) after each atom.
Element x y z (fractional)
Zn1 0.6664 0.6664 0.0000  5 Rh 2.67-2.72, 5 Os 2.67-2.72, 2 Zn 2.73
Os1 0.9996 0.9996 0.0000  5 Zn 2.67-2.72, 5 Rh 2.68-2.71, 2 Os 2.73
Rh1 0.3340 0.3340 0.0000  5 Zn 2.67-2.72, 5 Os 2.68-2.71, 2 Rh 2.73

Calculated values
Spin magnetization, Bohr magnetons per cell: 0.00
Energy of formation, meV/atom: 107

(5)
Pm2PrNd4Tm: relaxed, PBE-GGA.

Cell: 5.1754 5.1586 11.5461 Å, 63.45 90.00 90.00°
With the nearest neighbours (Å) after each atom.
Element x y z (fractional)
Nd1 0.0000 0.2460 0.2539  2 Tm 3.62, 4 Pm 3.63-3.68, 4 Nd 3.65, 2 Pr 3.68
Nd2 0.5000 0.7465 0.2534  4 Pm 3.62-3.68, 2 Tm 3.63, 4 Nd 3.65, 2 Pr 3.67-3.68
Tm1 0.0000 0.5000 0.5000  8 Nd 3.62-3.63, 4 Pm 3.65
Pm1 0.5000 0.0000 0.5000  8 Nd 3.62-3.63, 4 Tm 3.65
Pm2 0.0000 0.0000 0.0000  4 Pr 3.65, 8 Nd 3.68
Pr1 0.5000 0.5000 0.0000  4 Pm 3.65, 8 Nd 3.67-3.68
Nd3 0.5000 0.2535 0.7466  4 Pm 3.62-3.68, 2 Tm 3.63, 4 Nd 3.65, 2 Pr 3.67-3.68
Nd4 0.0000 0.7540 0.7461  2 Tm 3.62, 4 Pm 3.63-3.68, 4 Nd 3.65, 2 Pr 3.68

Calculated values
Spin magnetization, Bohr magnetons per cell: 0.00
Energy of formation, meV/atom: 13

(6)
Pm3Tm5Sc: relaxed, PBE-GGA.

Cell: 8.6014 8.6014 9.7114 Å, 116.29 116.29 90.00°
With the nearest neighbours (Å) after each atom.
Element x y z (fractional)
Tm1 0.0662 0.5662 0.7202  1 Pm 3.01, 1 Sc 3.01
Pm1 0.7500 0.7500 0.5000  10 Tm 3.51-3.79
Sc1 0.2500 0.7500 0.5000  4 Tm 3.01
Sc2 0.7500 0.2500 0.5000  4 Tm 3.01
Tm2 0.6540 0.1540 0.7202  1 Pm 3.01, 1 Sc 3.01
Pm2 0.1181 0.3819 0.0000  1 Pm 2.87, 2 Tm 3.01
Tm3 0.4338 0.3460 0.2798  1 Pm 3.01, 1 Sc 3.01
Tm4 0.3460 0.8460 0.2798  1 Pm 3.01, 1 Sc 3.01
Tm5 0.1540 0.0662 0.7202  1 Pm 3.01, 1 Sc 3.01
Tm6 0.8460 0.9338 0.2798  1 Pm 3.01, 1 Sc 3.01
Tm7 0.0000 0.0000 0.0000  6 Pm 3.44-3.79, 8 Tm 3.74
Pm3 0.2500 0.2500 0.5000  10 Tm 3.51-3.79
Pm4 0.3819 0.8819 0.0000  1 Pm 2.87, 2 Tm 3.01
Tm8 0.5662 0.6540 0.7202  1 Pm 3.01, 1 Sc 3.01
Tm9 0.9338 0.4338 0.2798  1 Pm 3.01, 1 Sc 3.01
Pm5 0.6181 0.1181 0.0000  1 Pm 2.87, 2 Tm 3.01
Pm6 0.8819 0.6181 0.0000  1 Pm 2.87, 2 Tm 3.01
Tm10 0.5000 0.5000 0.0000  6 Pm 3.44-3.79, 8 Tm 3.74

Calculated values
Spin magnetization, Bohr magnetons per cell: 0.00
Energy of formation, meV/atom: 273

(7)
Na2CdF: relaxed, PBE-GGA.

Cell: 6.9271 6.9271 6.4924 Å, 57.76 57.76 90.00°
With the nearest neighbours (Å) after each atom.
Element x y z (fractional)
Cd1 0.0000 0.0000 0.0000  8 Na 3.35-3.72
Na1 0.8750 0.7412 0.7500  2 F 2.19
Na2 0.3750 0.5088 0.7500  2 F 2.19
Na3 0.4912 0.1250 0.2500  2 F 2.19
F1 0.2500 0.7500 0.5000  4 Na 2.19
Na4 0.2588 0.6250 0.2500  2 F 2.19
F2 0.5000 0.5000 0.0000  4 Na 2.19
Cd2 0.7500 0.2500 0.5000  8 Na 3.35-3.72

Calculated values
Energy relative to the elements, uncorrected, eV/atom: -1.215
Spin magnetization, Bohr magnetons per cell: 0.00

(8)
Er3BeCo3: relaxed, PBE-GGA.

Cell: 3.9467 5.4249 12.4272 Å, 85.59 80.86 68.67°
With the nearest neighbours (Å) after each atom.
Element x y z (fractional)
Er1 0.6068 0.7084 0.0780  7 Co 2.87-2.97
Be1 0.2442 0.9108 0.6008  4 Co 2.22-2.30
Co1 0.8367 0.7916 0.5350  3 Be 2.22
Er2 0.7510 0.7314 0.7667  6 Co 2.83-3.03, 2 Be 2.96
Co2 0.9476 0.8673 0.2375  1 Co 2.29, 1 Be 2.30
Er3 0.3932 0.2916 0.9220  7 Co 2.87-2.97
Co3 0.8995 0.1207 0.0803  2 Co 2.29-2.34
Be2 0.7558 0.0892 0.3992  4 Co 2.22-2.30
Co4 0.1005 0.8793 0.9197  2 Co 2.29-2.34
Co5 0.0524 0.1327 0.7625  1 Co 2.29, 1 Be 2.30
Er4 0.5325 0.3197 0.6153  5 Co 2.77-2.86, 4 Be 2.87-2.99
Co6 0.1633 0.2084 0.4650  3 Be 2.22
Er5 0.4675 0.6803 0.3847  5 Co 2.77-2.86, 4 Be 2.87-2.99
Er6 0.2490 0.2686 0.2333  6 Co 2.83-3.03, 2 Be 2.96

Calculated values
Spin magnetization, Bohr magnetons per cell: 0.02
Energy of formation, meV/atom: -221

(9)
CaSiSb2: relaxed, PBE-GGA.

Cell: 5.6660 5.6660 5.6660 Å, 131.26 131.26 71.40°
With the nearest neighbours (Å) after each atom.
Element x y z (fractional)
Sb1 0.0000 0.0000 0.0000  4 Si 3.28, 4 Ca 3.28, 4 Sb 3.31
Sb2 0.5000 0.5000 0.0000  4 Ca 3.28, 4 Si 3.28, 4 Sb 3.31
Ca1 0.7500 0.2500 0.5000  8 Sb 3.28, 4 Si 3.31
Si1 0.2500 0.7500 0.5000  8 Sb 3.28, 4 Ca 3.31

Calculated values
Energy relative to the elements, uncorrected, eV/atom: -0.102
Spin magnetization, Bohr magnetons per cell: 0.00

(10)
BeBiPd6: relaxed, PBE-GGA.

Cell: 6.1835 6.1745 5.3833 Å, 55.95 54.64 59.05°
With the nearest neighbours (Å) after each atom.
Element x y z (fractional)
Pd1 0.2227 0.0202 0.2182  1 Be 2.35
Pd2 0.4611 0.7782 0.7797  1 Be 2.30
Pd3 0.7773 0.9798 0.7818  1 Be 2.35
Pd4 0.5389 0.2218 0.2203  1 Be 2.30
Be1 0.0000 0.0000 0.0000  6 Pd 2.29-2.35
Pd5 0.0155 0.5530 0.2129  1 Be 2.29
Bi1 0.5000 0.5000 0.5000  6 Pd 2.71-2.73
Pd6 0.9845 0.4470 0.7871  1 Be 2.29

Calculated values
Spin magnetization, Bohr magnetons per cell: 0.00
Energy of formation, meV/atom: -118

(11)
NaZnBi2Sb: relaxed, PBE-GGA.

Cell: 5.9851 5.9851 5.3089 Å, 90.00 90.00 90.00°
With the nearest neighbours (Å) after each atom.
Element x y z (fractional)
Na1 0.5000 0.5000 0.5000  8 Bi 4.00, 4 Zn 4.23
Bi1 0.5000 0.0000 0.0000  2 Sb 2.99
Sb1 0.0000 0.0000 0.0000  2 Zn 2.65
Bi2 0.0000 0.5000 0.0000  2 Sb 2.99
Zn1 0.0000 0.0000 0.5000  2 Sb 2.65

Calculated values
Energy relative to the elements, uncorrected, eV/atom: 0.364
Spin magnetization, Bohr magnetons per cell: 0.00

(12)
AcSb2Pb: relaxed, PBE-GGA.

Cell: 4.3378 4.3378 6.8071 Å, 90.00 90.00 90.00°
With the nearest neighbours (Å) after each atom.
Element x y z (fractional)
Sb1 0.0000 0.0000 0.7573  2 Sb 3.30-3.50, 4 Pb 3.48, 4 Ac 3.53
Ac1 0.5000 0.5000 0.5000  2 Pb 3.40, 8 Sb 3.53
Sb2 0.0000 0.0000 0.2427  2 Sb 3.30-3.50, 4 Pb 3.48, 4 Ac 3.53
Pb1 0.5000 0.5000 0.0000  2 Ac 3.40, 8 Sb 3.48

Calculated values
Energy relative to the elements, uncorrected, eV/atom: -0.494
Spin magnetization, Bohr magnetons per cell: 0.00

Number 1: volume 17.23 Å³ per atom. Number 2: volume 34.61 Å³ per atom. Number 3: volume 25.71 Å³ per atom. Number 4: volume 14.08 Å³ per atom. Number 5: volume 34.47 Å³ per atom. Number 6: volume 31.12 Å³ per atom. Number 7: volume 25.56 Å³ per atom. Number 8: volume 17.47 Å³ per atom. Number 9: volume 25.15 Å³ per atom. Number 10: volume 16.66 Å³ per atom. Number 11: volume 38.04 Å³ per atom. Number 12: volume 32.02 Å³ per atom.